52
Lattice="5.040 0.000 0.000 0.000 9.102 0.019 0.000 -1.610 14.944" Properties=species:S:1:pos:R:3 comment="SCAN Ca3Cu3As4O16, PBEsol geometry" magmom_total_mub_per_cell=5.9 raw_formation_energy_ev_per_atom=-1.8177 dft_energy_ev_per_atom=-11.63 pbc="T T T"
As 2.468 0.485 8.882
O 3.449 5.331 1.527
Cu 2.372 0.959 5.707
Cu 4.892 2.787 1.775
O 3.274 2.992 5.334
As 0.067 4.579 9.869
O 0.233 3.509 3.489
O 2.063 5.022 12.715
Cu 2.520 4.551 0.010
O 1.902 1.162 10.311
O 2.753 0.236 3.993
Ca 4.868 8.327 4.026
As 0.051 5.841 1.420
O 3.138 6.330 4.653
O 2.902 5.997 7.424
O 2.977 2.470 2.248
Ca 0.172 -0.836 10.937
As 2.571 7.006 6.081
Cu 2.667 6.533 9.256
As 4.973 2.913 5.094
O 3.516 -0.633 6.302
O 0.781 4.014 6.042
O 1.765 4.499 9.629
O 4.285 6.738 12.816
O 3.301 8.833 1.459
As 4.988 1.650 13.543
O 2.287 7.255 10.970
O 1.523 8.125 8.661
Ca 2.520 3.746 7.482
O 4.807 3.982 11.474
O 1.590 2.160 13.436
Ca 2.692 2.971 11.488
Ca 0.000 0.000 0.000
O 0.929 7.516 5.974
O 4.258 3.477 8.921
Cu 0.000 -0.805 7.472
O 0.996 4.379 1.179
O 2.137 1.494 7.540
Cu 0.147 4.704 13.188
O 1.739 -1.342 13.504
O 0.618 6.518 2.848
O 4.043 3.112 13.784
O 4.657 0.641 14.886
As 2.586 6.658 12.576
Ca 2.348 4.520 3.475
O 4.110 -0.025 8.989
O 4.583 6.216 9.730
As 2.453 0.833 2.387
O 0.383 6.850 0.077
O 0.457 1.276 5.233
O 0.755 0.754 2.148
O 4.422 0.974 12.115